# 1
Crystalline Dy2TiZn at its relaxed geometry. Source: Alexandria, functional GGA-PBE.

Cell: 3.362 3.362 8.253 Å, 90.00 90.00 90.00°
Sites, in units of the cell vectors:
Dy: 0.000 0.000 0.242
Dy: 0.000 0.000 0.758
Ti: 0.500 0.500 0.500
Zn: 0.500 0.500 0.000

Values from the calculation:
Its formation energy is -34 meV per atom. The space group is P4/mmm, No. 123. The calculated total energy is -18.51 eV for the cell shown. For the energy above the lowest structure with this stoichiometry, the calculation gives 0.000 eV per atom.

# 2
Crystalline DyZrTi2 at its relaxed geometry. Source: Alexandria, functional GGA-PBE.

Cell: 3.623 3.623 6.736 Å, 90.00 90.00 90.00°
Sites, in units of the cell vectors:
Dy: 0.000 0.000 0.000
Zr: 0.000 0.000 0.500
Ti: 0.500 0.500 0.296
Ti: 0.500 0.500 0.704

Values from the calculation:
Its formation energy is 137 meV per atom. The space group is P4/mmm, No. 123. The calculated total energy is -28.39 eV for the cell shown.

# 3
Crystalline Dy2ZrTi at its relaxed geometry. Source: Alexandria, functional GGA-PBE.

Cell: 3.269 3.269 33.757 Å, 90.00 90.00 120.00°
Sites, in units of the cell vectors:
Dy: 0.000 0.000 0.087
Dy: 0.000 0.000 0.913
Dy: 0.333 0.667 0.580
Dy: 0.333 0.667 0.754
Dy: 0.667 0.333 0.246
Dy: 0.667 0.333 0.420
Zr: 0.000 0.000 0.500
Zr: 0.333 0.667 0.167
Zr: 0.667 0.333 0.833
Ti: 0.000 0.000 0.000
Ti: 0.333 0.667 0.667
Ti: 0.667 0.333 0.333

Values from the calculation:
Its formation energy is 409 meV per atom. The space group is R-3m, No. 166. The calculated total energy is -72.04 eV for the cell shown.

# 4
Crystalline DyZrTi at its relaxed geometry. Source: Alexandria, functional GGA-PBE.

Cell: 3.216 3.216 7.853 Å, 90.00 90.00 120.00°
Sites, in units of the cell vectors:
Dy: 0.000 0.000 0.000
Zr: 0.333 0.667 0.630
Ti: 0.667 0.333 0.334

Values from the calculation:
Its formation energy is 216 meV per atom. The space group is P3m1, No. 156. The calculated total energy is -20.40 eV for the cell shown. For the energy above the lowest structure with this stoichiometry, the calculation gives 0.054 eV per atom.

# 5
Crystalline DyZrTi at its relaxed geometry. Source: Alexandria, functional GGA-PBE.

Cell: 3.249 5.123 8.621 Å, 90.00 100.85 90.00°
Sites, in units of the cell vectors:
Dy: 0.105 0.250 0.210
Dy: 0.895 0.750 0.790
Zr: 0.219 0.750 0.436
Zr: 0.781 0.250 0.564
Ti: 0.447 0.250 0.895
Ti: 0.553 0.750 0.105

Values from the calculation:
Its formation energy is 162 meV per atom. The space group is P2_1/m, No. 11. The calculated total energy is -41.12 eV for the cell shown. For the energy above the lowest structure with this stoichiometry, the calculation gives 0.000 eV per atom.

# 6
Crystalline Dy13Tl2 at its relaxed geometry. Source: Alexandria, functional GGA-PBE.

Cell: 6.715 8.565 8.881 Å, 66.62 79.03 82.58°
Sites, in units of the cell vectors:
Dy: 0.000 0.000 0.000
Dy: 0.120 0.479 0.737
Dy: 0.198 0.229 0.153
Dy: 0.260 0.939 0.585
Dy: 0.306 0.653 0.973
Dy: 0.372 0.410 0.390
Dy: 0.492 0.145 0.796
Dy: 0.508 0.855 0.204
Dy: 0.628 0.590 0.610
Dy: 0.694 0.347 0.027
Dy: 0.740 0.061 0.415
Dy: 0.802 0.771 0.847
Dy: 0.880 0.521 0.263
Tl: 0.059 0.771 0.382
Tl: 0.941 0.229 0.618

Values from the calculation:
Its formation energy is -62 meV per atom. The space group is P-1, No. 2. The calculated total energy is -65.49 eV for the cell shown.

# 7
Crystalline Dy3Tl2 at its relaxed geometry. Source: Alexandria, functional GGA-PBE.

Cell: 8.932 8.932 8.932 Å, 140.02 140.02 57.83°
Sites, in units of the cell vectors:
Dy: 0.000 0.000 0.000
Dy: 0.000 0.000 0.500
Dy: 0.000 0.500 0.000
Dy: 0.375 0.625 0.750
Dy: 0.500 0.000 0.500
Dy: 0.625 0.375 0.250
Tl: 0.179 0.429 0.750
Tl: 0.429 0.179 0.250
Tl: 0.571 0.821 0.750
Tl: 0.821 0.571 0.250

Values from the calculation:
Its formation energy is -151 meV per atom. The space group is I4_1/amd, No. 141. The calculated total energy is -38.59 eV for the cell shown. For the energy above the lowest structure with this stoichiometry, the calculation gives 0.123 eV per atom.

# 8
Crystalline Dy3Tl4 at its relaxed geometry. Source: Alexandria, functional GGA-PBE.

Cell: 8.028 8.028 8.028 Å, 109.47 109.47 109.47°
Sites, in units of the cell vectors:
Dy: 0.125 0.750 0.875
Dy: 0.250 0.625 0.375
Dy: 0.375 0.250 0.625
Dy: 0.625 0.375 0.250
Dy: 0.750 0.875 0.125
Dy: 0.875 0.125 0.750
Tl: 0.000 0.336 0.500
Tl: 0.000 0.836 0.500
Tl: 0.164 0.164 0.164
Tl: 0.336 0.500 0.000
Tl: 0.500 0.000 0.336
Tl: 0.500 0.000 0.836
Tl: 0.664 0.664 0.664
Tl: 0.836 0.500 0.000

Values from the calculation:
Its formation energy is -233 meV per atom. The space group is I-43d, No. 220. The calculated total energy is -49.81 eV for the cell shown. For the energy above the lowest structure with this stoichiometry, the calculation gives 0.078 eV per atom.

# 9
Crystalline DyTl at its relaxed geometry. Source: Alexandria, functional GGA-PBE.

Cell: 6.266 6.266 6.266 Å, 90.00 90.00 90.00°
Sites, in units of the cell vectors:
Dy: 0.000 0.000 0.000
Dy: 0.000 0.500 0.500
Dy: 0.500 0.000 0.500
Dy: 0.500 0.500 0.000
Tl: 0.000 0.000 0.500
Tl: 0.000 0.500 0.000
Tl: 0.500 0.000 0.000
Tl: 0.500 0.500 0.500

Values from the calculation:
Its formation energy is -46 meV per atom. The space group is Fm-3m, No. 225. The calculated total energy is -28.24 eV for the cell shown.

# 10
Crystalline DyTl3 at its relaxed geometry. Source: Alexandria, functional GGA-PBE.

Cell: 3.741 11.059 5.470 Å, 90.00 90.00 90.00°
Sites, in units of the cell vectors:
Dy: 0.000 0.000 0.000
Dy: 0.500 0.500 0.500
Tl: 0.000 0.254 0.632
Tl: 0.000 0.500 0.011
Tl: 0.000 0.746 0.632
Tl: 0.500 0.000 0.511
Tl: 0.500 0.246 0.132
Tl: 0.500 0.754 0.132

Values from the calculation:
Its formation energy is -149 meV per atom. The space group is Imm2, No. 44. The calculated total energy is -24.60 eV for the cell shown.

# 11
Crystalline DyTl6 at its relaxed geometry. Source: Alexandria, functional GGA-PBE.

Cell: 8.384 8.384 8.384 Å, 90.00 90.00 90.00°
Sites, in units of the cell vectors:
Dy: 0.000 0.000 0.000
Dy: 0.500 0.500 0.500
Tl: 0.000 0.250 0.500
Tl: 0.000 0.500 0.250
Tl: 0.000 0.500 0.750
Tl: 0.000 0.750 0.500
Tl: 0.250 0.000 0.500
Tl: 0.250 0.500 0.000
Tl: 0.500 0.000 0.250
Tl: 0.500 0.000 0.750
Tl: 0.500 0.250 0.000
Tl: 0.500 0.750 0.000
Tl: 0.750 0.000 0.500
Tl: 0.750 0.500 0.000

Values from the calculation:
Its formation energy is 584 meV per atom. The space group is Im-3m, No. 229. The calculated total energy is -29.42 eV for the cell shown.

# 12
Crystalline Dy2Tl3 at its relaxed geometry. Source: Alexandria, functional GGA-PBE.

Cell: 12.673 3.770 12.063 Å, 90.00 90.00 90.00°
Sites, in units of the cell vectors:
Dy: 0.009 0.250 0.147
Dy: 0.143 0.250 0.553
Dy: 0.357 0.750 0.053
Dy: 0.491 0.750 0.647
Dy: 0.509 0.250 0.353
Dy: 0.643 0.250 0.947
Dy: 0.857 0.750 0.447
Dy: 0.991 0.750 0.853
Tl: 0.081 0.750 0.346
Tl: 0.172 0.250 0.955
Tl: 0.236 0.750 0.745
Tl: 0.264 0.250 0.245
Tl: 0.328 0.750 0.455
Tl: 0.419 0.250 0.846
Tl: 0.581 0.750 0.154
Tl: 0.672 0.250 0.545
Tl: 0.736 0.750 0.755
Tl: 0.764 0.250 0.255
Tl: 0.828 0.750 0.045
Tl: 0.919 0.250 0.654

Values from the calculation:
Its formation energy is -215 meV per atom. The space group is Pnma, No. 62. The calculated total energy is -69.51 eV for the cell shown. For the energy above the lowest structure with this stoichiometry, the calculation gives 0.072 eV per atom.

# 13
Crystalline DyTl3 at its relaxed geometry. Source: Alexandria, functional GGA-PBE.

Cell: 4.650 4.650 10.171 Å, 90.00 90.00 90.00°
Sites, in units of the cell vectors:
Dy: 0.000 0.000 0.000
Dy: 0.500 0.500 0.500
Tl: 0.000 0.000 0.500
Tl: 0.000 0.500 0.250
Tl: 0.000 0.500 0.750
Tl: 0.500 0.000 0.250
Tl: 0.500 0.000 0.750
Tl: 0.500 0.500 0.000

Values from the calculation:
Its formation energy is -162 meV per atom. The space group is I4/mmm, No. 139. The calculated total energy is -24.70 eV for the cell shown.

# 14
Crystalline Dy4Tl5 at its relaxed geometry. Source: Alexandria, functional GGA-PBE.

Cell: 9.345 9.345 6.577 Å, 90.00 90.00 120.00°
Sites, in units of the cell vectors:
Dy: 0.000 0.000 0.000
Dy: 0.000 0.000 0.500
Dy: 0.000 0.369 0.250
Dy: 0.000 0.631 0.750
Dy: 0.369 0.000 0.250
Dy: 0.369 0.369 0.750
Dy: 0.631 0.000 0.750
Dy: 0.631 0.631 0.250
Tl: 0.000 0.299 0.750
Tl: 0.000 0.701 0.250
Tl: 0.299 0.000 0.750
Tl: 0.299 0.299 0.250
Tl: 0.333 0.667 0.000
Tl: 0.333 0.667 0.500
Tl: 0.667 0.333 0.000
Tl: 0.667 0.333 0.500
Tl: 0.701 0.000 0.250
Tl: 0.701 0.701 0.750

Values from the calculation:
Its formation energy is -294 meV per atom. The space group is P6_3/mcm, No. 193. The calculated total energy is -65.76 eV for the cell shown.

# 15
Crystalline DyTl3 at its relaxed geometry. Source: Alexandria, functional GGA-PBE.

Cell: 4.765 4.765 4.765 Å, 90.00 90.00 90.00°
Sites, in units of the cell vectors:
Dy: 0.000 0.000 0.000
Tl: 0.000 0.500 0.500
Tl: 0.500 0.000 0.500
Tl: 0.500 0.500 0.000

Values from the calculation:
Its formation energy is -235 meV per atom. The space group is Pm-3m, No. 221. The calculated total energy is -12.64 eV for the cell shown.

# 16
Crystalline Dy2Tl3 at its relaxed geometry. Source: Alexandria, functional GGA-PBE.

Cell: 7.760 7.760 4.548 Å, 90.00 90.00 90.00°
Sites, in units of the cell vectors:
Dy: 0.129 0.695 0.000
Dy: 0.305 0.129 0.000
Dy: 0.695 0.871 0.000
Dy: 0.871 0.305 0.000
Tl: 0.000 0.000 0.500
Tl: 0.180 0.395 0.500
Tl: 0.395 0.820 0.500
Tl: 0.500 0.500 0.000
Tl: 0.605 0.180 0.500
Tl: 0.820 0.605 0.500

Values from the calculation:
Its formation energy is -287 meV per atom. The space group is P4/m, No. 83. The calculated total energy is -35.48 eV for the cell shown. For the energy above the lowest structure with this stoichiometry, the calculation gives 0.000 eV per atom.

# 17
Crystalline Dy5Tl6 at its relaxed geometry. Source: Alexandria, functional GGA-PBE.

Cell: 9.251 9.251 5.284 Å, 106.36 106.36 47.71°
Sites, in units of the cell vectors:
Dy: 0.000 0.000 0.000
Dy: 0.165 0.165 0.665
Dy: 0.338 0.338 0.339
Dy: 0.662 0.662 0.661
Dy: 0.835 0.835 0.335
Tl: 0.092 0.583 0.838
Tl: 0.264 0.736 0.500
Tl: 0.417 0.908 0.162
Tl: 0.583 0.092 0.838
Tl: 0.736 0.264 0.500
Tl: 0.908 0.417 0.162

Values from the calculation:
Its formation energy is -269 meV per atom. The space group is C2/m, No. 12. The calculated total energy is -40.16 eV for the cell shown.

# 18
Crystalline DyTl4 at its relaxed geometry. Source: Alexandria, functional GGA-PBE.

Cell: 5.926 5.926 5.926 Å, 90.00 90.00 90.00°
Sites, in units of the cell vectors:
Dy: 0.000 0.000 0.000
Tl: 0.000 0.000 0.500
Tl: 0.000 0.500 0.000
Tl: 0.500 0.000 0.000
Tl: 0.500 0.500 0.500

Values from the calculation:
Its formation energy is 368 meV per atom. The space group is Pm-3m, No. 221. The calculated total energy is -12.23 eV for the cell shown.

# 19
Crystalline DyTl7 at its relaxed geometry. Source: Alexandria, functional GGA-PBE.

Cell: 6.886 6.886 6.886 Å, 60.00 60.00 60.00°
Sites, in units of the cell vectors:
Dy: 0.000 0.000 0.000
Tl: 0.000 0.000 0.500
Tl: 0.000 0.500 0.000
Tl: 0.000 0.500 0.500
Tl: 0.500 0.000 0.000
Tl: 0.500 0.000 0.500
Tl: 0.500 0.500 0.000
Tl: 0.500 0.500 0.500

Values from the calculation:
Its formation energy is -79 meV per atom. The space group is Fm-3m, No. 225. The calculated total energy is -21.80 eV for the cell shown.

# 20
Crystalline Dy7Tl5 at its relaxed geometry. Source: Alexandria, functional GGA-PBE.

Cell: 6.554 6.554 12.188 Å, 108.36 108.36 45.34°
Sites, in units of the cell vectors:
Dy: 0.000 0.000 0.000
Dy: 0.148 0.148 0.787
Dy: 0.151 0.151 0.505
Dy: 0.431 0.431 0.735
Dy: 0.569 0.569 0.265
Dy: 0.849 0.849 0.495
Dy: 0.852 0.852 0.213
Tl: 0.232 0.232 0.282
Tl: 0.347 0.347 0.032
Tl: 0.500 0.500 0.500
Tl: 0.653 0.653 0.968
Tl: 0.768 0.768 0.718

Values from the calculation:
Its formation energy is -210 meV per atom. The space group is C2/m, No. 12. The calculated total energy is -46.56 eV for the cell shown.

# 21
Crystalline Dy8Tl3 at its relaxed geometry. Source: Alexandria, functional GGA-PBE.

Cell: 7.161 7.161 7.161 Å, 88.67 88.67 88.67°
Sites, in units of the cell vectors:
Dy: 0.147 0.147 0.147
Dy: 0.184 0.357 0.620
Dy: 0.357 0.620 0.184
Dy: 0.380 0.816 0.643
Dy: 0.620 0.184 0.357
Dy: 0.643 0.380 0.816
Dy: 0.816 0.643 0.380
Dy: 0.853 0.853 0.853
Tl: 0.000 0.000 0.500
Tl: 0.000 0.500 0.000
Tl: 0.500 0.000 0.000

Values from the calculation:
Its formation energy is 107 meV per atom. The space group is R-3, No. 148. The calculated total energy is -42.74 eV for the cell shown.

# 22
Crystalline Dy3Tl2 at its relaxed geometry. Source: Alexandria, functional GGA-PBE.

Cell: 3.578 3.578 22.196 Å, 90.00 90.00 90.00°
Sites, in units of the cell vectors:
Dy: 0.000 0.000 0.000
Dy: 0.000 0.000 0.193
Dy: 0.000 0.000 0.807
Dy: 0.500 0.500 0.307
Dy: 0.500 0.500 0.500
Dy: 0.500 0.500 0.693
Tl: 0.000 0.000 0.404
Tl: 0.000 0.000 0.596
Tl: 0.500 0.500 0.096
Tl: 0.500 0.500 0.904

Values from the calculation:
Its formation energy is -274 meV per atom. The space group is I4/mmm, No. 139. The calculated total energy is -39.82 eV for the cell shown. For the energy above the lowest structure with this stoichiometry, the calculation gives 0.000 eV per atom.

# 23
Crystalline Dy3Tl4 at its relaxed geometry. Source: Alexandria, functional GGA-PBE.

Cell: 8.510 8.510 8.510 Å, 113.73 113.73 113.73°
Sites, in units of the cell vectors:
Dy: 0.003 0.611 0.735
Dy: 0.265 0.997 0.389
Dy: 0.389 0.265 0.997
Dy: 0.611 0.735 0.003
Dy: 0.735 0.003 0.611
Dy: 0.997 0.389 0.265
Tl: 0.000 0.000 0.000
Tl: 0.100 0.250 0.561
Tl: 0.250 0.561 0.100
Tl: 0.439 0.900 0.750
Tl: 0.500 0.500 0.500
Tl: 0.561 0.100 0.250
Tl: 0.750 0.439 0.900
Tl: 0.900 0.750 0.439

Values from the calculation:
Its formation energy is -311 meV per atom. The space group is R-3, No. 148. The calculated total energy is -50.90 eV for the cell shown. For the energy above the lowest structure with this stoichiometry, the calculation gives 0.000 eV per atom.

# 24
Crystalline Dy3Tm2Tl6 at its relaxed geometry. Source: Alexandria, functional GGA-PBE.

Cell: 15.082 15.082 15.082 Å, 162.03 162.03 25.52°
Sites, in units of the cell vectors:
Dy: 0.000 0.000 0.000
Dy: 0.200 0.200 0.000
Dy: 0.800 0.800 0.000
Tm: 0.447 0.447 0.000
Tm: 0.553 0.553 0.000
Tl: 0.118 0.618 0.500
Tl: 0.304 0.304 0.000
Tl: 0.382 0.882 0.500
Tl: 0.618 0.118 0.500
Tl: 0.696 0.696 0.000
Tl: 0.882 0.382 0.500

Values from the calculation:
Its formation energy is -25 meV per atom. The space group is I4/mmm, No. 139. The calculated total energy is -37.22 eV for the cell shown.